4
Lattice="-1.8677 1.8677 3.8619 1.8677 -1.8677 3.8619 1.8677 1.8677 -3.8619" Properties=species:S:1:pos:R:3 comment="ZnNiOs2 (PBE, relaxed)" dos_ef_per_ev_cell=4.14 density_g_cm3=15.55 energy_ev_per_atom=-7.028 e_form_ev_per_atom=0.351 space_group="I4/mmm (139)" pbc="T T T"
Zn 0.0000 0.0000 0.0000
Ni 0.0000 0.0000 3.8619
Os 1.8677 0.0000 1.9309
Os 0.0000 1.8677 1.9309